No. 1
The following is a PBE calculation of Ba2SrMg12Ga3 after structural relaxation, from the Alexandria database.

a = 9.283 Å, b = 9.283 Å, c = 9.283 Å
α = 62.00°, β = 62.00°, γ = 62.00°
Fractional coordinates of all 18 atoms:
Ba1 0.086 0.086 0.086
Ba2 0.914 0.914 0.914
Sr1 0.500 0.500 0.500
Mg1 0.012 0.664 0.664
Mg2 0.223 0.223 0.618
Mg3 0.223 0.618 0.223
Mg4 0.336 0.336 0.988
Mg5 0.336 0.988 0.336
Mg6 0.382 0.777 0.777
Mg7 0.618 0.223 0.223
Mg8 0.664 0.012 0.664
Mg9 0.664 0.664 0.012
Mg10 0.777 0.382 0.777
Mg11 0.777 0.777 0.382
Mg12 0.988 0.336 0.336
Ga1 0.000 0.500 0.500
Ga2 0.500 0.000 0.500
Ga3 0.500 0.500 0.000



No. 2
The following is a PBE calculation of Ba2Mg4TlGa3 after structural relaxation, from the Alexandria database.

a = 4.819 Å, b = 4.819 Å, c = 11.879 Å
α = 90.00°, β = 90.00°, γ = 90.00°
Fractional coordinates of all 10 atoms:
Ba1 0.000 0.500 0.245
Ba2 0.500 0.000 0.755
Mg1 0.000 0.000 0.000
Mg2 0.000 0.500 0.639
Mg3 0.500 0.000 0.361
Mg4 0.500 0.500 0.000
Tl1 0.000 0.000 0.500
Ga1 0.000 0.500 0.873
Ga2 0.500 0.000 0.127
Ga3 0.500 0.500 0.500



No. 3
The following is a PBE calculation of BaMg2Tl4Ga after structural relaxation, from the Alexandria database.

a = 10.128 Å, b = 10.128 Å, c = 10.128 Å
α = 30.18°, β = 30.18°, γ = 30.18°
Fractional coordinates of all 8 atoms:
Ba1 0.000 0.000 0.000
Mg1 0.239 0.239 0.239
Mg2 0.761 0.761 0.761
Tl1 0.130 0.130 0.130
Tl2 0.399 0.399 0.399
Tl3 0.601 0.601 0.601
Tl4 0.870 0.870 0.870
Ga1 0.500 0.500 0.500



No. 4
The following is a PBE calculation of Ba2Mg4ZnGa3 after structural relaxation, from the Alexandria database.

a = 4.871 Å, b = 4.871 Å, c = 11.209 Å
α = 90.00°, β = 90.00°, γ = 90.00°
Fractional coordinates of all 10 atoms:
Ba1 0.000 0.500 0.245
Ba2 0.500 0.000 0.755
Mg1 0.000 0.000 0.500
Mg2 0.000 0.500 0.878
Mg3 0.500 0.000 0.122
Mg4 0.500 0.500 0.500
Zn1 0.500 0.500 0.000
Ga1 0.000 0.000 0.000
Ga2 0.000 0.500 0.632
Ga3 0.500 0.000 0.368



No. 5
The following is a PBE calculation of BaMgZn2Ga4 after structural relaxation, from the Alexandria database.

a = 10.356 Å, b = 10.356 Å, c = 10.356 Å
α = 25.12°, β = 25.12°, γ = 25.12°
Fractional coordinates of all 8 atoms:
Ba1 0.000 0.000 0.000
Mg1 0.500 0.500 0.500
Zn1 0.236 0.236 0.236
Zn2 0.764 0.764 0.764
Ga1 0.127 0.127 0.127
Ga2 0.406 0.406 0.406
Ga3 0.594 0.594 0.594
Ga4 0.873 0.873 0.873



No. 6
The following is a PBE calculation of Ba2MgZn4Ga3 after structural relaxation, from the Alexandria database.

a = 4.540 Å, b = 4.540 Å, c = 11.370 Å
α = 90.00°, β = 90.00°, γ = 90.00°
Fractional coordinates of all 10 atoms:
Ba1 0.000 0.500 0.240
Ba2 0.500 0.000 0.760
Mg1 0.000 0.000 0.500
Zn1 0.000 0.000 0.000
Zn2 0.000 0.500 0.637
Zn3 0.500 0.000 0.363
Zn4 0.500 0.500 0.000
Ga1 0.000 0.500 0.877
Ga2 0.500 0.000 0.123
Ga3 0.500 0.500 0.500



The calculation returns the following DFT formation energy values, one per record and in order: 157.7; -263.9; -132.6; -236.5; -183.5; -287.1 meV per atom.